No. 1
TaCuRe2: relaxed, PBE.

The structure in CIF format:
```
data_TaCuRe2
_chemical_formula_sum 'Ta1 Cu1 Re2'
_cell_length_a 2.828
_cell_length_b 3.932
_cell_length_c 5.476
_cell_angle_alpha 90.00
_cell_angle_beta 90.00
_cell_angle_gamma 90.00
_space_group_name_H-M_alt 'P m m 2'
_space_group_IT_number 25
_space_group_name_Hall 'P 2 -2'
loop_
_atom_site_label
_atom_site_fract_x
_atom_site_fract_y
_atom_site_fract_z
_atom_site_occupancy
Ta1 0.000 0.000 0.000 1
Cu1 0.500 0.500 0.245 1
Re1 0.000 0.000 0.507 1
Re2 0.500 0.500 0.725 1
```

Values from the calculation:
Energy relative to the elements, eV per formula unit: 0.36
Crystal system: orthorhombic
Polymorph energy (0 for the lowest one), meV/atom: 36


No. 2
TaCuRe2: relaxed, PBE.

The structure in CIF format:
```
data_TaCuRe2
_chemical_formula_sum 'Ta2 Cu2 Re4'
_cell_length_a 3.955
_cell_length_b 3.955
_cell_length_c 7.714
_cell_angle_alpha 90.00
_cell_angle_beta 90.00
_cell_angle_gamma 90.00
_space_group_name_H-M_alt 'I -4 m 2'
_space_group_IT_number 119
_space_group_name_Hall 'I -4 -2'
loop_
_atom_site_label
_atom_site_fract_x
_atom_site_fract_y
_atom_site_fract_z
_atom_site_occupancy
Ta1 0.000 0.000 0.000 1
Cu1 0.000 0.500 0.750 1
Re1 0.000 0.000 0.500 1
Re2 0.000 0.500 0.250 1
```

Values from the calculation:
Energy relative to the elements, eV per formula unit: 0.37
Crystal system: tetragonal
Polymorph energy (0 for the lowest one), meV/atom: 40


No. 3
TaCuRe2: relaxed, PBE.

The structure in CIF format:
```
data_TaCuRe2
_chemical_formula_sum 'Ta4 Cu4 Re8'
_cell_length_a 6.245
_cell_length_b 6.245
_cell_length_c 6.245
_cell_angle_alpha 90.00
_cell_angle_beta 90.00
_cell_angle_gamma 90.00
_space_group_name_H-M_alt 'F -4 3 m'
_space_group_IT_number 216
_space_group_name_Hall 'F -4 2 3'
loop_
_atom_site_label
_atom_site_fract_x
_atom_site_fract_y
_atom_site_fract_z
_atom_site_occupancy
Ta1 0.000 0.000 0.000 1
Cu1 0.250 0.250 0.250 1
Re1 0.000 0.000 0.500 1
Re2 0.250 0.250 0.750 1
```

Values from the calculation:
Energy relative to the elements, eV per formula unit: 0.70
Crystal system: cubic
Polymorph energy (0 for the lowest one), meV/atom: 121


> What is the polymorph energy (0 for the lowest one) in the first record?

36 meV/atom